A plane-wave DFT calculation with PBE-GGA was carried out for crystalline CaHg2WN at its relaxed geometry.

Output
**Space group**: P4/mmm, No. 123
**Formation energy from raw total energies**: 1.734 eV/atom
**Electronic total energy**: -15.212 eV for the cell shown
**V**: 25.23 Å³/atom
**Total magnetization**: 3.711 μB/cell

a b c (Å): 5.6649 3.9304 5.6649
angles (deg): 90.00 90.00 90.00
Closest atoms and distances in Å follow each position.
Element x y z (fractional)
Ca1 0.0000 0.0000 0.0000  2 N 1.97
Hg1 0.0000 0.0000 0.5000  2 Ca 2.83
Hg2 0.5000 0.0000 0.0000  2 Ca 2.83
W1 0.5000 0.5000 0.5000  8 Hg 3.45
N1 0.0000 0.5000 0.0000  2 Ca 1.97